1.
Here is SrAu after structural relaxation from Alexandria via LeMat-Bulk. Energies are from PBE.

Calculated values
Energy of formation in eV per atom: -0.68
Size of the total moment in μB/cell: 0.0

Lattice parameters (Å, degrees): 4.527 4.527 4.527 60.00 60.00 60.00
Fractional coordinates of all 2 atoms:
Sr 0.500 0.500 0.500
Au 0.000 0.000 0.000

---

2.
Here is Na2MnTlCl8 after structural relaxation from Alexandria via LeMat-Bulk. Energies are from PBE.

Calculated values
Energy relative to the elements, uncorrected in eV per atom: -1.128
Size of the total moment in μB/cell: 4.0

Lattice parameters (Å, degrees): 6.541 6.914 7.832 90.97 89.25 110.00
Each line ends with the local moment (μB).
Fractional coordinates of all 12 atoms:
Cl 0.388 0.237 0.482  0.01
Mn 0.000 0.000 0.000  3.67
Na 0.364 0.537 0.243  0.00
Cl 0.078 0.768 0.253  0.04
Cl 0.087 0.800 0.790  -0.02
Cl 0.922 0.232 0.747  0.04
Cl 0.648 0.785 0.994  0.00
Cl 0.612 0.763 0.518  0.01
Na 0.636 0.463 0.757  0.00
Cl 0.913 0.200 0.210  -0.02
Tl 0.000 0.000 0.500  0.01
Cl 0.352 0.215 0.006  0.00

---

3.
Here is PrCd2Pt9 after structural relaxation from Alexandria via LeMat-Bulk. Energies are from PBE.

Calculated values
Energy of formation in eV per atom: -0.45
Size of the total moment in μB/cell: 0.0

Lattice parameters (Å, degrees): 5.414 5.414 9.270 73.02 73.02 60.00
Fractional coordinates of all 12 atoms:
Pt 0.412 0.919 0.256
Pt 0.666 0.666 0.001
Pt 0.588 0.081 0.744
Pt 0.919 0.412 0.256
Cd 0.855 0.855 0.435
Pt 0.081 0.588 0.744
Cd 0.145 0.145 0.565
Pt 0.500 0.500 0.500
Pt 0.412 0.412 0.256
Pr 0.000 0.000 0.000
Pt 0.588 0.588 0.744
Pt 0.334 0.334 0.999

---

4.
Here is CaAuBr2 after structural relaxation from Alexandria via LeMat-Bulk. Energies are from PBE.

Calculated values
Energy relative to the elements, uncorrected in eV per atom: -0.818
Size of the total moment in μB/cell: 0.0
Energy above the lowest structure with this stoichiometry in meV/atom: 178

Lattice parameters (Å, degrees): 5.249 5.249 9.707 74.32 74.32 90.00
Fractional coordinates of all 8 atoms:
Ca 0.500 0.500 0.000
Au 0.000 0.000 0.000
Br 0.628 0.125 0.250
Au 0.750 0.250 0.500
Br 0.375 0.372 0.750
Ca 0.250 0.750 0.500
Br 0.875 0.878 0.750
Br 0.122 0.625 0.250

---

5.
Here is CsY3As4O12 after structural relaxation from Alexandria via LeMat-Bulk. Energies are from PBE.

Calculated values
Energy relative to the elements, uncorrected in eV per atom: -1.825
Size of the total moment in μB/cell: 0.0

Lattice parameters (Å, degrees): 7.318 7.318 7.318 103.52 103.52 103.52
Fractional coordinates of all 20 atoms:
Y 0.000 0.569 0.431
As 0.080 0.500 0.920
Cs 0.000 0.000 0.000
Y 0.569 0.431 0.000
O 0.736 0.979 0.603
O 0.670 0.500 0.330
O 0.021 0.264 0.397
As 0.500 0.500 0.500
O 0.500 0.075 0.925
O 0.264 0.397 0.021
O 0.330 0.670 0.500
O 0.500 0.330 0.670
O 0.603 0.736 0.979
O 0.925 0.500 0.075
O 0.979 0.603 0.736
O 0.397 0.021 0.264
As 0.920 0.080 0.500
O 0.075 0.925 0.500
As 0.500 0.920 0.080
Y 0.431 0.000 0.569

---

6.
Here is YHoNi2 after structural relaxation from Alexandria via LeMat-Bulk. Energies are from PBE.

Calculated values
Energy of formation in eV per atom: -0.45
Size of the total moment in μB/cell: 0.0
Energy above the lowest structure with this stoichiometry in meV/atom: 0

Lattice parameters (Å, degrees): 3.763 4.168 5.437 90.00 110.27 90.00
Fractional coordinates of all 4 atoms:
Ni 0.153 0.500 0.845
Ni 0.011 0.000 0.560
Ho 0.444 0.500 0.427
Y 0.723 0.000 0.986

---

7.
Here is SrZn6Sn2 after structural relaxation from Alexandria via LeMat-Bulk. Energies are from PBE.

Calculated values
Energy of formation in eV per atom: -0.12
Size of the total moment in μB/cell: 0.0

Lattice parameters (Å, degrees): 4.554 4.554 9.184 90.00 90.00 90.00
Fractional coordinates of all 9 atoms:
Zn 0.000 0.000 0.500
Sn 0.500 0.500 0.165
Zn 0.000 0.500 0.339
Sn 0.500 0.500 0.835
Sr 0.000 0.000 0.000
Zn 0.000 0.500 0.661
Zn 0.500 0.500 0.500
Zn 0.500 0.000 0.661
Zn 0.500 0.000 0.339

---

8.
Here is ZnBi3Mo after structural relaxation from Alexandria via LeMat-Bulk. Energies are from PBE.

Calculated values
Energy of formation in eV per atom: 0.64
Size of the total moment in μB/cell: 0.0
Energy above the lowest structure with this stoichiometry in meV/atom: 0

Lattice parameters (Å, degrees): 5.413 5.413 5.413 90.00 90.00 90.00
Fractional coordinates of all 5 atoms:
Mo 0.000 0.000 0.000
Zn 0.500 0.500 0.500
Bi 0.500 0.000 0.000
Bi 0.000 0.000 0.500
Bi 0.000 0.500 0.000

---

Q: Look up the size of the total moment of the seventh one.
A: 0.0 μB/cell

---

Q: size of the total moment of number 4 (CaAuBr2)?
A: 0.0 μB/cell

---

Q: Number 8 is which compound?
A: ZnBi3Mo

---

What did the eighth record say?
Here is ZnBi3Mo after structural relaxation from Alexandria via LeMat-Bulk. Energies are from PBE.

Calculated values
Energy of formation in eV per atom: 0.64
Size of the total moment in μB/cell: 0.0
Energy above the lowest structure with this stoichiometry in meV/atom: 0

Lattice parameters (Å, degrees): 5.413 5.413 5.413 90.00 90.00 90.00
Fractional coordinates of all 5 atoms:
Mo 0.000 0.000 0.000
Zn 0.500 0.500 0.500
Bi 0.500 0.000 0.000
Bi 0.000 0.000 0.500
Bi 0.000 0.500 0.000